No. 1
4
Lattice="-0.123 -3.731 -2.698 4.081 1.199 -1.844 5.670 -0.593 0.561" Properties=species:S:1:pos:R:3 comment="AlPt2Pb (GGA-PBE, optimized geometry)" e_form_mev_per_atom=-209 rho_g_cm3=14.30 space_group=P2/m e_tot_ev_per_atom=-5.09 dos_at_fermi_per_ev_atom=0.483 pbc="T T T"
Pt 1.979 -1.266 -2.271
Pt 0.000 0.000 0.000
Pb 2.835 -0.296 0.281
Al 4.814 -1.562 -1.990


No. 2
4
Lattice="3.331 0.000 0.000 1.665 2.885 0.000 1.665 0.962 12.132" Properties=species:S:1:pos:R:3 comment="La2HfTl (GGA-PBE, optimized geometry)" e_form_mev_per_atom=263 polymorph_energy_mev_per_atom=166 rho_g_cm3=9.41 space_group=R-3m e_tot_ev_per_atom=-5.28 dos_at_fermi_per_ev_atom=1.160 pbc="T T T"
Tl 3.331 1.923 6.066
La 4.996 2.885 3.104
La 1.665 0.962 9.028
Hf 0.000 0.000 0.000


No. 3
18
Lattice="5.357 0.000 0.000 -2.678 4.639 0.000 0.000 0.000 9.787" Properties=species:S:1:pos:R:3 comment="DyPuMgO6 (GGA-PBE, optimized geometry)" e_form_raw_ev_per_fu=-24.80 rho_g_cm3=7.19 space_group=P-31c e_tot_ev_per_atom=-8.34 pbc="T T T"
O 1.876 0.063 1.343
O 3.481 0.063 3.551
Pu 2.678 1.546 2.447
O -0.803 4.576 6.236
Mg 0.000 3.093 2.447
O 1.686 3.046 6.236
O 3.561 2.983 3.551
O 0.803 4.576 8.444
O 0.883 1.656 8.444
Dy 0.000 0.000 0.000
O -0.883 1.656 6.236
Dy 0.000 0.000 4.893
O -1.686 3.046 8.444
O 0.992 1.593 3.551
O 4.364 1.593 1.343
Pu 0.000 3.093 7.340
Mg 2.678 1.546 7.340
O 1.795 2.983 1.343